The following is a DFT calculation (GGA-PBE) of a geometry-optimized SmCdPt2 structure.

Results
**Density**: 12.6 Mg/m³
**Formation energy from the elements**: -0.797 eV per atom
**E**: -5.226 eV/atom
**Density of states at the Fermi level**: 1.35 states/eV/cell

abc: 3.8541 4.2696 5.5512
angles: 90.00 110.17 90.00
Space group Pm (No. 6)
One atom of each set of equivalent atoms:
Sm1 0.0000 0.0000 0.0000 (multiplicity 1)
Cd1 0.7091 0.5000 0.4166 (multiplicity 1)
Pt1 0.2737 0.0000 0.5442 (multiplicity 1)
Pt2 0.4361 0.5000 0.8717 (multiplicity 1)



The following is a DFT calculation (GGA-PBE) of a geometry-optimized SmCdPt structure.

Results
**Density**: 9.9 Mg/m³
**Formation energy from the elements**: -0.750 eV per atom
**E**: -4.642 eV/atom
**Density of states at the Fermi level**: 8.42 states/eV/cell

abc: 6.7580 6.7580 6.7580
angles: 90.00 90.00 90.00
Space group F-43m (No. 216)
One atom of each set of equivalent atoms:
Sm1 0.0000 0.0000 0.0000 (multiplicity 4)
Cd1 0.0000 0.0000 0.5000 (multiplicity 4)
Pt1 0.2500 0.2500 0.7500 (multiplicity 4)



The following is a DFT calculation (GGA-PBE) of a geometry-optimized SmCd3Pt structure.

Results
**Density**: 10.0 Mg/m³
**Formation energy from the elements**: -0.502 eV per atom
**E**: -3.203 eV/atom
**Density of states at the Fermi level**: 4.18 states/eV/cell

abc: 5.4957 5.7992 7.6260
angles: 90.00 110.72 90.00
Space group P2_1/m (No. 11)
One atom of each set of equivalent atoms:
Sm1 0.1015 0.2500 0.3821 (multiplicity 2)
Cd1 0.0473 0.2500 0.9043 (multiplicity 2)
Cd2 0.4970 0.5043 0.1955 (multiplicity 4)
Pt1 0.3082 0.7500 0.4649 (multiplicity 2)